[1]
Crystalline K2CuH4Pd at its relaxed geometry. Source: Alexandria via LeMat-Bulk, functional GGA-PBE.

a b c (Å): 11.428 10.176 6.287
angles (deg): 84.40 62.40 33.20
Fractional coordinates of all 16 atoms:
1 K 0.047 0.047 0.703
2 K 0.297 0.297 0.953
3 K 0.703 0.703 0.047
4 K 0.953 0.953 0.297
5 Cu 0.125 0.125 0.125
6 Cu 0.875 0.875 0.875
7 H 0.008 0.314 0.413
8 H 0.235 0.587 0.686
9 H 0.314 0.008 0.765
10 H 0.413 0.765 0.008
11 H 0.587 0.235 0.992
12 H 0.686 0.992 0.235
13 H 0.765 0.413 0.314
14 H 0.992 0.686 0.587
15 Pd 0.375 0.375 0.375
16 Pd 0.625 0.625 0.625

Results
* V: 17.77 Å³/atom
* calculated total energy: -26.08 eV/f.u.


[2]
Crystalline CeSm2Dy5Ho at its relaxed geometry. Source: Alexandria via LeMat-Bulk, functional GGA-PBE.

a b c (Å): 9.890 9.890 9.890
angles (deg): 128.77 128.77 75.38
Fractional coordinates of all 18 atoms:
1 Ce 0.250 0.750 0.500
2 Ce 0.750 0.250 0.500
3 Sm 0.122 0.622 0.743
4 Sm 0.378 0.122 0.500
5 Sm 0.622 0.878 0.500
6 Sm 0.878 0.378 0.257
7 Dy 0.000 0.000 0.000
8 Dy 0.061 0.157 0.500
9 Dy 0.157 0.657 0.097
10 Dy 0.343 0.439 0.500
11 Dy 0.439 0.939 0.097
12 Dy 0.500 0.500 0.000
13 Dy 0.561 0.061 0.903
14 Dy 0.657 0.561 0.500
15 Dy 0.843 0.343 0.903
16 Dy 0.939 0.843 0.500
17 Ho 0.250 0.250 0.000
18 Ho 0.750 0.750 0.000

Results
* V: 31.79 Å³/atom
* ΔH_f (0 K): 0.2757 eV per atom


Which of these has the lowest V?
K2CuH4Pd


Look up the V of the second one.
31.79 Å³/atom